Entry 1:
This record from Alexandria describes a relaxed Rb2YH crystal. The functional is PBE-GGA.

Symmetry: Fm-3m (225)
Final energy: -1.930 eV/atom
Mass density: 2.142 g cm⁻³
Offset from the most stable computed form: 62.5 kJ per mole of atoms

The structure in POSCAR format:
```
Rb2YH
1.0
0.0000 4.6584 4.6584
4.6584 0.0000 4.6584
4.6584 4.6584 0.0000
Y H Rb
1 1 2
Direct
0.5000 0.5000 0.5000
0.0000 0.0000 0.0000
0.2500 0.2500 0.2500
0.7500 0.7500 0.7500
```

---

Entry 2:
This record from Alexandria describes a relaxed Pr3Ag2Hg crystal. The functional is PBE-GGA.

Symmetry: P4/mmm (123)
Formation enthalpy at 0 K: -0.32 eV/atom
Final energy: -3.715 eV/atom
Mass density: 8.397 g cm⁻³

The structure in POSCAR format:
```
Pr3Ag2Hg
1.0
3.8308 0.0000 0.0000
0.0000 3.8308 0.0000
0.0000 0.0000 11.3066
Pr Ag Hg
3 2 1
Direct
0.0000 0.0000 0.0000
0.0000 0.0000 0.6702
0.0000 0.0000 0.3298
0.5000 0.5000 0.8375
0.5000 0.5000 0.1625
0.5000 0.5000 0.5000
```

---

Number 1: magnetic moment 1.85 μB per cell. Number 2: magnetic moment 0.54 μB per cell.